Entry 1:
First-principles (PBE) data for a geometry-optimized LuB5 structure, as listed in Alexandria.

abc: 4.5903 4.5903 3.0582
angles: 90.00 90.00 106.96
Sites, in units of the cell vectors:
1 Lu 0.0000 0.0000 0.0000
2 B 0.2715 0.7285 0.5000
3 B 0.3730 0.6270 0.0000
4 B 0.5000 0.5000 0.5000
5 B 0.6270 0.3730 0.0000
6 B 0.7285 0.2715 0.5000

Computed properties:
The space group is Cmmm (65). For the formation energy, the calculation gives 0.14 eV/atom.



Entry 2:
First-principles (PBE) data for a geometry-optimized Cs2BaBe2S4 structure, as listed in Alexandria.

abc: 8.3232 8.3232 8.7336
angles: 114.60 114.60 28.23
Sites, in units of the cell vectors:
1 Cs 0.1309 0.1309 0.0634
2 Cs 0.8691 0.8691 0.9366
3 Ba 0.0000 0.0000 0.5000
4 Be 0.3239 0.3239 0.5469
5 Be 0.6761 0.6761 0.4531
6 S 0.2120 0.2120 0.6116
7 S 0.4579 0.4579 0.7259
8 S 0.5421 0.5421 0.2741
9 S 0.7880 0.7880 0.3884

Computed properties:
The space group is C2/m (12). For the uncorrected energy, the calculation gives -4.31 eV/atom.



Entry 3:
First-principles (PBE) data for a geometry-optimized Cs3Ac2ScSe6 structure, as listed in Alexandria.

abc: 7.7194 7.7194 8.7830
angles: 98.45 98.45 119.98
Sites, in units of the cell vectors:
1 Cs 0.0000 0.0000 0.0000
2 Cs 0.3299 0.6701 0.0000
3 Cs 0.6701 0.3299 0.0000
4 Ac 0.1663 0.8337 0.5000
5 Ac 0.8337 0.1663 0.5000
6 Sc 0.5000 0.5000 0.5000
7 Se 0.1334 0.4372 0.3120
8 Se 0.2597 0.2597 0.6899
9 Se 0.4372 0.1334 0.3120
10 Se 0.5628 0.8666 0.6881
11 Se 0.7403 0.7403 0.3101
12 Se 0.8666 0.5628 0.6881

Computed properties:
The space group is C2/m (12). For the uncorrected energy, the calculation gives -4.87 eV/atom.



Entry 4:
First-principles (PBE) data for a geometry-optimized SrMgBe2In structure, as listed in Alexandria.

abc: 4.7584 4.7584 5.3771
angles: 90.00 90.00 90.00
Sites, in units of the cell vectors:
1 Sr 0.0000 0.0000 0.0000
2 Mg 0.5000 0.5000 0.0000
3 Be 0.0000 0.5000 0.5000
4 Be 0.5000 0.0000 0.5000
5 In 0.5000 0.5000 0.5000

Computed properties:
The space group is P4/mmm (123). For the formation energy, the calculation gives 0.60 eV/atom.



Entry 5:
First-principles (PBE) data for a geometry-optimized KAcCd17 structure, as listed in Alexandria.

abc: 7.8157 7.8157 7.8157
angles: 82.70 82.70 82.70
Sites, in units of the cell vectors:
1 K 0.0000 0.0000 0.0000
2 Ac 0.3265 0.3265 0.3265
3 Cd 0.0198 0.0198 0.4964
4 Cd 0.0198 0.4964 0.0198
5 Cd 0.1599 0.6634 0.6634
6 Cd 0.3076 0.3076 0.8162
7 Cd 0.3076 0.8162 0.3076
8 Cd 0.3646 0.6626 0.9583
9 Cd 0.3646 0.9583 0.6626
10 Cd 0.4964 0.0198 0.0198
11 Cd 0.5607 0.5607 0.5607
12 Cd 0.6634 0.1599 0.6634
13 Cd 0.6626 0.3646 0.9583
14 Cd 0.6634 0.6634 0.1599
15 Cd 0.6626 0.9583 0.3646
16 Cd 0.7612 0.7612 0.7612
17 Cd 0.8162 0.3076 0.3076
18 Cd 0.9583 0.3646 0.6626
19 Cd 0.9583 0.6626 0.3646

Computed properties:
The space group is R3m (160). For the formation energy, the calculation gives -0.12 eV/atom.



Entry 6:
First-principles (PBE) data for a geometry-optimized CaTbPt10 structure, as listed in Alexandria.

abc: 4.4383 5.3959 9.2807
angles: 90.00 90.00 90.00
Sites, in units of the cell vectors:
1 Ca 0.0000 0.0000 0.0000
2 Tb 0.0000 0.5000 0.5000
3 Pt 0.0000 0.0000 0.3349
4 Pt 0.0000 0.0000 0.6651
5 Pt 0.0000 0.5000 0.1683
6 Pt 0.0000 0.5000 0.8317
7 Pt 0.5000 0.0000 0.5000
8 Pt 0.5000 0.2518 0.2527
9 Pt 0.5000 0.2518 0.7473
10 Pt 0.5000 0.5000 0.0000
11 Pt 0.5000 0.7482 0.2527
12 Pt 0.5000 0.7482 0.7473

Computed properties:
The space group is Pmmm (47). For the formation energy, the calculation gives -0.62 eV/atom.



Entry 7:
First-principles (PBE) data for a geometry-optimized RbLi2Ir structure, as listed in Alexandria.

abc: 8.7977 8.7977 8.7977
angles: 144.06 144.06 51.73
Sites, in units of the cell vectors:
1 Rb 0.3750 0.6250 0.7500
2 Rb 0.6250 0.3750 0.2500
3 Li 0.0000 0.0000 0.0000
4 Li 0.0000 0.0000 0.5000
5 Li 0.0000 0.5000 0.0000
6 Li 0.5000 0.0000 0.5000
7 Ir 0.1250 0.8750 0.2500
8 Ir 0.8750 0.1250 0.7500

Computed properties:
The space group is I4_1/amd (141). For the formation energy, the calculation gives 0.59 eV/atom.



Entry 8:
First-principles (PBE) data for a geometry-optimized CeNbRh6 structure, as listed in Alexandria.

abc: 3.9822 3.9822 7.9858
angles: 90.00 90.00 90.00
Sites, in units of the cell vectors:
1 Ce 0.0000 0.0000 0.0000
2 Nb 0.0000 0.0000 0.5000
3 Rh 0.0000 0.5000 0.2649
4 Rh 0.0000 0.5000 0.7351
5 Rh 0.5000 0.0000 0.2649
6 Rh 0.5000 0.0000 0.7351
7 Rh 0.5000 0.5000 0.0000
8 Rh 0.5000 0.5000 0.5000

Computed properties:
The space group is P4/mmm (123). For the formation energy, the calculation gives -0.57 eV/atom.



Entry 9:
First-principles (PBE) data for a geometry-optimized Cs2RbTeCl structure, as listed in Alexandria.

abc: 9.8767 9.8767 11.2288
angles: 90.00 90.00 149.96
Sites, in units of the cell vectors:
1 Cs 0.1682 0.8318 0.5705
2 Cs 0.1682 0.8318 0.9295
3 Cs 0.8318 0.1682 0.0705
4 Cs 0.8318 0.1682 0.4295
5 Rb 0.4199 0.5801 0.7500
6 Rb 0.5801 0.4199 0.2500
7 Te 0.2251 0.7749 0.2500
8 Te 0.7749 0.2251 0.7500
9 Cl 0.0000 0.0000 0.0000
10 Cl 0.0000 0.0000 0.5000

Computed properties:
The space group is Cmcm (63). For the uncorrected energy, the calculation gives -2.82 eV/atom.



Entry 10:
First-principles (PBE) data for a geometry-optimized Ac2HfGa structure, as listed in Alexandria.

abc: 11.9376 11.9376 11.9376
angles: 17.06 17.06 17.06
Sites, in units of the cell vectors:
1 Ac 0.0930 0.0930 0.0930
2 Ac 0.9070 0.9070 0.9070
3 Hf 0.0000 0.0000 0.0000
4 Ga 0.5000 0.5000 0.5000

Computed properties:
The space group is R-3m (166). For the formation energy, the calculation gives 0.46 eV/atom.



Entry 11:
First-principles (PBE) data for a geometry-optimized ThCu12Si6 structure, as listed in Alexandria.

abc: 6.6860 6.6860 6.6860
angles: 103.21 103.21 103.21
Sites, in units of the cell vectors:
1 Th 0.0000 0.0000 0.0000
2 Cu 0.1144 0.5000 0.8856
3 Cu 0.1144 0.8856 0.5000
4 Cu 0.1498 0.4050 0.4050
5 Cu 0.4050 0.1498 0.4050
6 Cu 0.4050 0.4050 0.1499
7 Cu 0.5000 0.1144 0.8856
8 Cu 0.5000 0.8856 0.1144
9 Cu 0.5950 0.5950 0.8501
10 Cu 0.5950 0.8501 0.5950
11 Cu 0.8501 0.5950 0.5950
12 Cu 0.8856 0.1144 0.5000
13 Cu 0.8856 0.5000 0.1144
14 Si 0.2646 0.2646 0.7045
15 Si 0.2646 0.7045 0.2646
16 Si 0.2955 0.7354 0.7354
17 Si 0.7045 0.2646 0.2646
18 Si 0.7354 0.2955 0.7354
19 Si 0.7354 0.7354 0.2955

Computed properties:
The space group is R-3m (166). For the uncorrected energy, the calculation gives -4.68 eV/atom.



Entry 12:
First-principles (PBE) data for a geometry-optimized B5C7 structure, as listed in Alexandria.

abc: 4.4804 4.6073 4.6194
angles: 61.25 77.53 71.06
Sites, in units of the cell vectors:
1 B 0.0000 0.0000 0.0000
2 B 0.0366 0.2570 0.3496
3 B 0.1723 0.5735 0.9403
4 B 0.5423 0.3883 0.0530
5 B 0.6250 0.7512 0.6517
6 C 0.0152 0.6102 0.6490
7 C 0.1548 0.8764 0.3412
8 C 0.1588 0.2402 0.6711
9 C 0.5128 0.7647 0.3210
10 C 0.5188 0.1176 0.6682
11 C 0.6364 0.0339 0.0062
12 C 0.6543 0.3943 0.3538

Computed properties:
The space group is P1 (1). For the formation energy, the calculation gives 0.40 eV/atom.